CaCd2Fe after structural relaxation. Source: the Alexandria database, functional PBE.

Lattice parameters (Å, degrees): 4.8237 3.3103 5.7419 86.10 90.00 90.00
Each line ends with the local moment (μB).
Fractional coordinates of all 4 atoms:
1 Ca 0.5000 0.7444 0.7415  -0.05
2 Fe 0.0000 0.3077 0.4966  2.86
3 Cd 0.0000 0.1995 0.9948  -0.03
4 Cd 0.5000 0.2484 0.2671  -0.02

Its formation energy is 0.23 eV per atom. Its crystal system is monoclinic.



Tl3CoC after structural relaxation. Source: the Alexandria database, functional PBE.

Lattice parameters (Å, degrees): 4.9134 4.9134 4.9134 90.00 90.00 90.00
Each line ends with the local moment (μB).
Fractional coordinates of all 5 atoms:
1 Tl 0.0000 0.5000 0.0000  -0.04
2 Tl 0.0000 0.0000 0.5000  -0.03
3 Tl 0.5000 0.0000 0.0000  -0.04
4 Co 0.5000 0.5000 0.5000  1.93
5 C 0.0000 0.0000 0.0000  -0.10

The energy above the lowest structure with this stoichiometry comes out at 0.091 eV/atom. Its formation energy is 1.46 eV per atom. Its crystal system is cubic.



La2AuI after structural relaxation. Source: the Alexandria database, functional PBE.

Lattice parameters (Å, degrees): 3.7155 3.7155 8.5643 90.00 90.00 90.00
Fractional coordinates of all 4 atoms:
1 I 0.5000 0.5000 0.5000
2 Au 0.5000 0.5000 0.0000
3 La 0.0000 0.0000 0.7755
4 La 0.0000 0.0000 0.2245

The energy above the lowest structure with this stoichiometry comes out at 0.078 eV/atom. As for the raw formation energy: -321 kJ/mol of formula units. Its crystal system is tetragonal.



PmY2ErTm2 after structural relaxation. Source: the Alexandria database, functional PBE.

Lattice parameters (Å, degrees): 5.6072 9.7399 6.9059 90.00 90.00 90.00
Fractional coordinates of all 12 atoms:
1 Pm 0.0000 0.0000 0.0000
2 Pm 0.5000 0.5000 0.5000
3 Y 0.5000 0.8330 0.2516
4 Y 0.5000 0.1669 0.7484
5 Y 0.0000 0.6670 0.7516
6 Y 0.0000 0.3330 0.2484
7 Er 0.5000 0.5000 0.0000
8 Er 0.0000 0.0000 0.5000
9 Tm 0.5000 0.1663 0.2507
10 Tm 0.0000 0.6663 0.2493
11 Tm 0.5000 0.8337 0.7493
12 Tm 0.0000 0.3337 0.7507

Its formation energy is 0.07 eV per atom. Its crystal system is orthorhombic.



Pm6BiP3S2 after structural relaxation. Source: the Alexandria database, functional PBE.

Lattice parameters (Å, degrees): 4.1684 8.4104 9.3655 103.44 102.86 90.00
Fractional coordinates of all 12 atoms:
1 Pm 0.3249 0.9175 0.6497
2 Pm 0.6654 0.5885 0.3307
3 Pm 0.6751 0.0825 0.3503
4 Pm 0.9998 0.2715 0.9996
5 Pm 0.0002 0.7285 0.0004
6 Pm 0.3346 0.4115 0.6693
7 Bi 0.5000 0.0000 0.0000
8 P 0.5000 0.5000 0.0000
9 P 0.8347 0.1693 0.6694
10 P 0.1653 0.8307 0.3306
11 S 0.8303 0.6624 0.6607
12 S 0.1697 0.3376 0.3393

As for the raw formation energy: -1870 kJ/mol of formula units. Its crystal system is monoclinic.



Tm6SbPb2Se3 after structural relaxation. Source: the Alexandria database, functional PBE.

Lattice parameters (Å, degrees): 4.2158 8.4305 9.4113 102.48 102.94 90.00
Fractional coordinates of all 12 atoms:
1 Tm 0.3316 0.9212 0.6632
2 Tm 0.6640 0.5886 0.3280
3 Tm 0.6684 0.0788 0.3368
4 Tm 0.9995 0.2549 0.9990
5 Tm 0.0005 0.7451 0.0010
6 Tm 0.3360 0.4114 0.6720
7 Sb 0.5000 0.0000 0.0000
8 Pb 0.8327 0.6666 0.6655
9 Pb 0.1673 0.3334 0.3345
10 Se 0.5000 0.5000 0.0000
11 Se 0.8348 0.1662 0.6697
12 Se 0.1652 0.8338 0.3303

As for the raw formation energy: -1326 kJ/mol of formula units. Its crystal system is monoclinic.



Ce3Pm2Ru4 after structural relaxation. Source: the Alexandria database, functional PBE.

Lattice parameters (Å, degrees): 6.4381 8.1749 8.4898 90.00 112.28 90.00
Fractional coordinates of all 18 atoms:
1 Ce 0.0000 0.0000 0.0000
2 Ce 0.5000 0.5000 0.0000
3 Ce 0.5471 0.7500 0.5942
4 Ce 0.9529 0.2500 0.4058
5 Ce 0.4529 0.2500 0.4058
6 Ce 0.0471 0.7500 0.5942
7 Pm 0.1074 0.5988 0.2149
8 Pm 0.8926 0.4012 0.7851
9 Pm 0.3926 0.0988 0.7851
10 Pm 0.6074 0.9012 0.2149
11 Ru 0.7077 0.7500 0.9154
12 Ru 0.7923 0.2500 0.0846
13 Ru 0.2923 0.2500 0.0846
14 Ru 0.2077 0.7500 0.9154
15 Ru 0.2049 0.9222 0.4097
16 Ru 0.7951 0.0778 0.5903
17 Ru 0.2951 0.4222 0.5903
18 Ru 0.7049 0.5778 0.4097

Its formation energy is -0.28 eV per atom. Its crystal system is orthorhombic.



LaCr3Pt after structural relaxation. Source: the Alexandria database, functional PBE.

Lattice parameters (Å, degrees): 4.4088 4.4088 4.4088 90.00 90.00 90.00
Fractional coordinates of all 5 atoms:
1 Cr 0.0000 0.5000 0.0000
2 Cr 0.0000 0.0000 0.5000
3 Cr 0.5000 0.0000 0.0000
4 Pt 0.5000 0.5000 0.5000
5 La 0.0000 0.0000 0.0000

The energy above the lowest structure with this stoichiometry comes out at 1.180 eV/atom. Its formation energy is 1.87 eV per atom. Its crystal system is cubic.



SrPaPb2O6 after structural relaxation. Source: the Alexandria database, functional PBE.

Lattice parameters (Å, degrees): 6.1077 6.1078 6.4965 61.96 61.96 59.99
Each line ends with the local moment (μB).
Fractional coordinates of all 10 atoms:
1 Sr 0.8082 0.8082 0.5754  0.00
2 Pa 0.3186 0.3186 0.0442  0.06
3 Pb 0.5342 0.5343 0.3974  0.01
4 Pb 0.0208 0.0208 0.9375  0.18
5 O 0.5914 0.1976 0.2398  0.05
6 O 0.1975 0.9712 0.2399  0.05
7 O 0.9712 0.5915 0.2398  0.05
8 O 0.4030 0.6879 0.7803  0.11
9 O 0.6879 0.1286 0.7805  0.11
10 O 0.1287 0.4029 0.7804  0.11

As for the raw formation energy: -2174 kJ/mol of formula units. Its crystal system is trigonal.